The following is a DFT calculation (PBE-GGA) of SnBiIr after structural relaxation.

a b c (Å): 4.669 4.669 4.669
angles (deg): 60.00 60.00 60.00
Atoms (fractional coordinates):
Ir1 0.250 0.250 0.250
Bi1 0.000 0.000 0.000
Sn1 0.500 0.500 0.500

Output
Spin magnetization, μB/cell: 0.00
Crystal system: cubic
SG: F-43m, No. 216
Formation energy from the elements, meV/atom: -66
Energy above the most stable polymorph in this dataset, eV/atom: 0.000

=====

The following is a DFT calculation (PBE-GGA) of TbHo12Tl3 after structural relaxation.

a b c (Å): 4.842 4.842 19.774
angles (deg): 90.00 90.00 90.00
Atoms (fractional coordinates):
Tb1 0.000 0.000 0.000
Ho1 0.500 0.500 0.000
Ho2 0.500 0.500 0.255
Ho3 0.500 0.500 0.500
Ho4 0.500 0.500 0.745
Ho5 0.500 0.000 0.130
Ho6 0.500 0.000 0.377
Ho7 0.500 0.000 0.623
Ho8 0.500 0.000 0.870
Ho9 0.000 0.500 0.130
Ho10 0.000 0.500 0.377
Ho11 0.000 0.500 0.623
Ho12 0.000 0.500 0.870
Tl1 0.000 0.000 0.257
Tl2 0.000 0.000 0.500
Tl3 0.000 0.000 0.743

Output
Spin magnetization, μB/cell: 0.01
Crystal system: tetragonal
SG: P4/mmm, No. 123
Formation energy from the elements, meV/atom: -122

=====

The following is a DFT calculation (PBE-GGA) of Nd3InHg3 after structural relaxation.

a b c (Å): 5.192 9.430 9.430
angles (deg): 120.00 90.00 90.00
Atoms (fractional coordinates):
Nd1 0.750 0.656 0.557
Nd2 0.750 0.443 0.099
Nd3 0.750 0.901 0.344
Nd4 0.250 0.344 0.443
Nd5 0.250 0.557 0.901
Nd6 0.250 0.099 0.656
In1 0.250 0.667 0.333
In2 0.750 0.333 0.667
Hg1 0.250 0.806 0.767
Hg2 0.250 0.233 0.039
Hg3 0.250 0.961 0.194
Hg4 0.750 0.194 0.233
Hg5 0.750 0.767 0.961
Hg6 0.750 0.039 0.806

Output
Spin magnetization, μB/cell: 0.00
Crystal system: hexagonal
SG: P6_3/m, No. 176
Formation energy from the elements, meV/atom: -367
Energy above the most stable polymorph in this dataset, eV/atom: 0.000

=====

The following is a DFT calculation (PBE-GGA) of LaDyGaAu after structural relaxation.

a b c (Å): 5.243 5.243 5.243
angles (deg): 60.00 60.00 60.00
Atoms (fractional coordinates):
La1 0.500 0.500 0.500
Au1 0.750 0.750 0.750
Ga1 0.250 0.250 0.250
Dy1 0.000 0.000 0.000

Output
Spin magnetization, μB/cell: 0.00
Crystal system: cubic
SG: F-43m, No. 216
Formation energy from the elements, meV/atom: -650

=====

The following is a DFT calculation (PBE-GGA) of Ac2PPb after structural relaxation.

a b c (Å): 4.362 4.362 17.310
angles (deg): 90.00 90.00 120.00
Atoms (fractional coordinates):
Ac1 0.333 0.667 0.399
Ac2 0.667 0.333 0.899
Ac3 0.667 0.333 0.601
Ac4 0.333 0.667 0.101
P1 0.000 0.000 0.500
P2 0.000 0.000 0.000
Pb1 0.667 0.333 0.250
Pb2 0.333 0.667 0.750

Output
Spin magnetization, μB/cell: 0.00
Crystal system: hexagonal
SG: P6_3/mmc, No. 194
Formation energy from the elements, meV/atom: -921
Energy above the most stable polymorph in this dataset, eV/atom: 0.026

=====

The following is a DFT calculation (PBE-GGA) of Pb2ClF3 after structural relaxation.

a b c (Å): 4.025 8.677 10.295
angles (deg): 100.81 90.00 103.41
Atoms (fractional coordinates):
Pb1 0.196 0.392 0.135
Pb2 0.804 0.608 0.865
Pb3 0.473 0.946 0.222
Pb4 0.527 0.054 0.778
Pb5 0.357 0.713 0.529
Pb6 0.643 0.287 0.471
Cl1 0.164 0.329 0.718
Cl2 0.836 0.671 0.282
Cl3 0.000 0.000 0.000
F1 0.037 0.074 0.323
F2 0.963 0.926 0.677
F3 0.213 0.425 0.404
F4 0.787 0.575 0.596
F5 0.621 0.242 0.223
F6 0.379 0.758 0.777
F7 0.500 0.000 0.500
F8 0.316 0.632 0.017
F9 0.684 0.368 0.983

Output
E_tot, eV/f.u.: -27.1
Spin magnetization, μB/cell: 0.00
Crystal system: monoclinic
SG: C2/m, No. 12